Entry 1:
Computed, not measured: an optimized crystal structure of ZrTl2Mo at the PBE level of DFT.

Cell and atoms, written as extended XYZ:
```
4
Lattice="1.584 0.915 9.883 -1.584 0.915 9.883 0.000 -1.829 9.883" Properties=species:S:1:pos:R:3 pbc="T T T"
Zr 0.000 0.000 0.000
Tl 0.000 0.000 7.278
Tl 0.000 0.000 22.370
Mo 0.000 0.000 14.824
```

Values from the calculation:
DFT formation energy ... 452 meV per atom
E above lowest polymorph ... 127.6 meV/atom
Fermi-level density of states ... 3.942 states/eV/f.u.

Entry 2:
Computed, not measured: an optimized crystal structure of Ag2ClF at the PBE level of DFT.

Cell and atoms, written as extended XYZ:
```
16
Lattice="7.313 0.000 0.000 0.000 5.409 0.000 0.000 0.000 8.516" Properties=species:S:1:pos:R:3 pbc="T T T"
Ag 0.204 1.352 0.987
Ag 1.017 4.057 3.334
Ag 2.640 1.352 7.592
Ag 3.453 4.057 5.245
Ag 3.861 1.352 3.271
Ag 4.673 4.057 0.924
Ag 6.297 1.352 5.182
Ag 7.109 4.057 7.529
Cl 1.017 1.352 3.338
Cl 2.640 4.057 7.597
Cl 4.674 1.352 0.920
Cl 6.296 4.057 5.178
F 0.235 1.352 7.248
F 3.421 4.057 2.990
F 3.892 1.352 5.526
F 7.078 4.057 1.268
```

Values from the calculation:
E above lowest polymorph ... 5.6 meV/atom

Entry 3:
Computed, not measured: an optimized crystal structure of BaTlAg2F8 at the PBE level of DFT.

Cell and atoms, written as extended XYZ:
```
12
Lattice="-2.853 2.853 5.849 2.853 -2.853 5.849 2.853 2.853 -5.849" Properties=species:S:1:pos:R:3 pbc="T T T"
Ba 0.000 0.000 0.000
Tl 0.000 2.853 2.924
Ag 2.853 0.000 2.924
Ag 0.000 0.000 5.849
F 4.166 1.419 -1.598
F 1.548 1.419 -1.589
F 1.419 1.541 1.598
F 1.435 -1.306 7.438
F -1.312 1.435 4.251
F 1.306 1.435 4.260
F 1.419 4.159 1.589
F 1.435 1.312 7.447
```

Values from the calculation:
Electronic total energy ... -4.05 eV per atom
Fermi-level density of states ... 11.468 states/eV/f.u.

Entry 4:
Computed, not measured: an optimized crystal structure of MnCuCl2 at the PBE level of DFT.

Cell and atoms, written as extended XYZ:
```
4
Lattice="-1.728 2.285 6.799 1.728 -2.285 6.799 1.728 2.285 -6.799" Properties=species:S:1:pos:R:3 pbc="T T T"
Mn 0.000 0.000 0.000
Cu 1.728 0.000 1.877
Cl 0.000 0.000 8.338
Cl 0.000 2.285 5.153
```

Values from the calculation:
E above lowest polymorph ... 168.9 meV/atom
Fermi-level density of states ... 1.396 states/eV/f.u.

Entry 5:
Computed, not measured: an optimized crystal structure of Mg2BeN at the PBE level of DFT.

Cell and atoms, written as extended XYZ:
```
4
Lattice="0.000 2.983 2.983 2.983 0.000 2.983 2.983 2.983 0.000" Properties=species:S:1:pos:R:3 pbc="T T T"
Mg 1.492 1.492 1.492
Mg 4.475 4.475 4.475
Be 0.000 0.000 0.000
N 2.983 2.983 2.983
```

Values from the calculation:
E above lowest polymorph ... 365.7 meV/atom
Fermi-level density of states ... 1.536 states/eV/f.u.

Entry 6:
Computed, not measured: an optimized crystal structure of CaCu2Si2 at the PBE level of DFT.

Cell and atoms, written as extended XYZ:
```
5
Lattice="-2.006 2.006 5.152 2.006 -2.006 5.152 2.006 2.006 -5.152" Properties=species:S:1:pos:R:3 pbc="T T T"
Ca 0.000 0.000 0.000
Cu 0.000 0.000 3.896
Cu 0.000 0.000 6.408
Si 2.006 0.000 2.576
Si 0.000 2.006 2.576
```

Values from the calculation:
Electronic total energy ... -4.45 eV per atom
Fermi-level density of states ... 2.062 states/eV/f.u.

Entry 7:
Computed, not measured: an optimized crystal structure of RbAl3O at the PBE level of DFT.

Cell and atoms, written as extended XYZ:
```
5
Lattice="4.810 0.000 0.000 0.000 4.810 0.000 0.000 0.000 4.810" Properties=species:S:1:pos:R:3 pbc="T T T"
Rb 0.000 0.000 0.000
Al 0.000 2.405 2.405
Al 2.405 0.000 2.405
Al 2.405 2.405 0.000
O 2.405 2.405 2.405
```

Values from the calculation:
E above lowest polymorph ... 0.0 meV/atom
Fermi-level density of states ... 2.362 states/eV/f.u.

Entry 8:
Computed, not measured: an optimized crystal structure of Hf3Tc2H4 at the PBE level of DFT.

Cell and atoms, written as extended XYZ:
```
9
Lattice="5.312 -1.677 0.000 5.312 1.677 0.000 -0.078 0.000 6.093" Properties=species:S:1:pos:R:3 pbc="T T T"
Hf 0.000 0.000 0.000
Hf 3.804 0.000 2.376
Hf 6.742 0.000 3.718
Tc 3.181 0.000 5.035
Tc 7.365 0.000 1.058
H 1.571 0.000 1.836
H 4.305 0.000 0.407
H 6.241 0.000 5.686
H 8.974 0.000 4.257
```

Values from the calculation:
Electronic total energy ... -7.25 eV per atom
Fermi-level density of states ... 4.173 states/eV/f.u.